Here is a relaxed structure of VP3Pd from the Alexandria database. Energies are from PBE.

a b c (Å): 4.4808 4.4808 4.4808
angles (deg): 90.00 90.00 90.00
Positions (direct):
V: 0.0000 0.0000 0.0000
P: 0.0000 0.0000 0.5000
P: 0.0000 0.5000 0.0000
P: 0.5000 0.0000 0.0000
Pd: 0.5000 0.5000 0.5000

Output
**ρ**: 4.6 g/cm3
**Calculated volume**: 18.0 A^3/atom
**Total energy**: -5.738 eV per atom
**E_form**: 0.37 eV per atom

***

Here is a relaxed structure of BeHg2Mo from the Alexandria database. Energies are from PBE.

a b c (Å): 5.2932 5.2932 5.2932
angles (deg): 136.50 136.50 63.21
Positions (direct):
Be: 0.0000 0.0000 0.0000
Hg: 0.2500 0.7500 0.5000
Hg: 0.7500 0.2500 0.5000
Mo: 0.5000 0.5000 0.0000

Output
**ρ**: 12.1 g/cm3
**Calculated volume**: 17.3 A^3/atom
**Total energy**: -3.038 eV per atom
**E_form**: 0.75 eV per atom

***

> Which formula does entry 2 have?

BeHg2Mo

***

> Which of these has the highest ρ?

BeHg2Mo